OsPt2Cl after structural relaxation, computed with PBE.

Lattice parameters (Å, degrees): 2.839 2.839 9.797 90.00 90.00 122.12
Fractional positions:
Cl  0.000  0.000  0.545
Os  0.500  0.500  0.746
Pt  0.000  0.000  0.980
Pt  0.500  0.500  0.229

Computed properties:
**Energy relative to the elements, uncorrected**: 10.99 kcal/mol of atoms
**Total energy**: -23.25 eV per cell
**Space-group type**: Cmm2, No. 35


HoReSi2Ru after structural relaxation, computed with PBE.

Lattice parameters (Å, degrees): 4.180 4.180 5.691 111.55 111.55 90.00
Fractional positions:
Ho  0.000  0.000  0.000
Re  0.750  0.250  0.500
Si  0.627  0.627  0.253
Si  0.373  0.373  0.747
Ru  0.250  0.750  0.500

Computed properties:
**Energy relative to the elements, uncorrected**: -14.96 kcal/mol of atoms
**Total energy**: -40.39 eV per cell
**Space-group type**: I-4m2, No. 119


KSc2Au after structural relaxation, computed with PBE.

Lattice parameters (Å, degrees): 3.435 3.440 10.643 71.40 90.00 90.00
Fractional positions:
Au  0.500  0.250  0.250
K  0.500  0.750  0.750
Sc  0.000  0.906  0.093
Sc  0.000  0.594  0.407

Computed properties:
**Energy of formation**: -0.07 eV per atom
**Total energy**: -17.33 eV per cell
**Space-group type**: P2/m, No. 10


LaIn2GaO after structural relaxation, computed with PBE.

Lattice parameters (Å, degrees): 6.545 4.245 6.545 90.00 90.00 90.00
Fractional positions:
In  0.000  0.000  0.500
In  0.500  0.000  0.000
O  0.000  0.500  0.000
Ga  0.500  0.500  0.500
La  0.000  0.000  0.000

Computed properties:
**Energy relative to the elements, uncorrected**: -8.39 kcal/mol of atoms
**Total energy**: -20.21 eV per cell
**Space-group type**: P4/mmm, No. 123


AlP2Au after structural relaxation, computed with PBE.

Lattice parameters (Å, degrees): 10.656 10.656 10.656 15.39 15.39 15.39
Fractional positions:
P  0.976  0.976  0.976
P  0.524  0.524  0.524
Au  0.750  0.750  0.750
Al  0.250  0.250  0.250

Computed properties:
**Energy of formation**: 0.24 eV per atom
**Total energy**: -16.89 eV per cell
**Space-group type**: R-3m, No. 166


CaThGe4 after structural relaxation, computed with PBE.

Lattice parameters (Å, degrees): 5.704 5.704 5.704 60.00 60.00 60.00
Fractional positions:
Ge  0.625  0.625  0.124
Ge  0.625  0.124  0.625
Ge  0.625  0.625  0.625
Ge  0.124  0.625  0.625
Ca  0.000  0.000  0.000
Th  0.250  0.250  0.250

Computed properties:
**Energy of formation**: -0.27 eV per atom
**Total energy**: -29.48 eV per cell
**Space-group type**: F-43m, No. 216


AcSbAsPb after structural relaxation, computed with PBE.

Lattice parameters (Å, degrees): 5.544 5.544 5.544 60.00 60.00 60.00
Fractional positions:
Pb  0.250  0.250  0.250
Sb  0.500  0.500  0.500
Ac  0.750  0.750  0.750
As  0.000  0.000  0.000

Computed properties:
**Energy relative to the elements, uncorrected**: -10.88 kcal/mol of atoms
**Total energy**: -18.48 eV per cell
**Space-group type**: F-43m, No. 216


NdGa2Ru after structural relaxation, computed with PBE.

Lattice parameters (Å, degrees): 3.278 3.278 8.834 79.31 79.31 60.00
Fractional positions:
Ru  0.000  0.000  0.000
Nd  0.500  0.500  0.500
Ga  0.734  0.734  0.799
Ga  0.266  0.266  0.201

Computed properties:
**Energy of formation**: -0.11 eV per atom
**Total energy**: -20.53 eV per cell
**Space-group type**: R-3m, No. 166